A plane-wave DFT calculation with GGA-PBE was carried out for crystalline Na3Al2Ga9 at its relaxed geometry.

* DOS at the Fermi energy: 6.69 states/eV/cell
* formation energy from the elements: -0.094 eV per atom
* V: 276.26 Å³/f.u.

Unit cell a=4.4384 b=9.7485 c=12.7700 alpha=90.00 beta=90.00 gamma=90.00
Last column: nearest neighbours and their distance in Å.
Space group Immm (No. 71)
Asymmetric unit:
Na 0.0000 0.0000 0.0000 (multiplicity 2)  12 Ga 3.20-3.39
Na 0.0000 0.0000 0.2872 (multiplicity 4)  10 Ga 3.12-3.30, 2 Al 3.21
Al 0.0000 0.1750 0.5000 (multiplicity 4)  8 Ga 2.67-2.95
Ga 0.0000 0.2875 0.1501 (multiplicity 8)  4 Ga 2.68-2.82, 2 Al 2.95
Ga 0.0000 0.3676 0.3510 (multiplicity 8)  4 Ga 2.58-2.69, 1 Al 2.67
Ga 0.0000 0.5000 0.0000 (multiplicity 2)  4 Al 2.80, 4 Ga 2.82


A plane-wave DFT calculation with GGA-PBE was carried out for crystalline NaAlGa at its relaxed geometry.

* DOS at the Fermi energy: 5.78 states/eV/cell
* formation energy from the elements: -0.040 eV per atom
* relative energy among the computed polymorphs: 0.008 eV per atom
* V: 63.30 Å³/f.u.

Unit cell a=7.1827 b=4.3479 c=12.1673 alpha=90.00 beta=91.67 gamma=90.00
Last column: nearest neighbours and their distance in Å.
Space group P2_1/m (No. 11)
Asymmetric unit:
Na 0.0054 0.2500 0.3797 (multiplicity 2)  5 Ga 3.10-3.13, 5 Al 3.21-3.35
Na 0.1364 0.2500 0.0709 (multiplicity 2)  5 Ga 3.06-3.22, 2 Al 3.25, 2 Na 3.37
Na 0.4898 0.2500 0.2980 (multiplicity 2)  5 Ga 2.93-3.05, 3 Al 3.13-3.19
Al 0.1768 0.2500 0.7888 (multiplicity 2)  4 Ga 2.68-2.75, 1 Al 2.87
Al 0.3381 0.7500 0.4575 (multiplicity 2)  4 Ga 2.65-2.74
Al 0.4716 0.7500 0.0926 (multiplicity 2)  4 Ga 2.63-2.76, 1 Al 2.87
Ga 0.2039 0.7500 0.2448 (multiplicity 2)  3 Al 2.71-2.75
Ga 0.2908 0.7500 0.9012 (multiplicity 2)  5 Al 2.63-2.76, 1 Na 2.93
Ga 0.2930 0.2500 0.5780 (multiplicity 2)  4 Al 2.65-2.72


A plane-wave DFT calculation with GGA-PBE was carried out for crystalline NaAl3Ga at its relaxed geometry.

* DOS at the Fermi energy: 2.27 states/eV/cell
* formation energy from the elements: 1.065 eV per atom
* relative energy among the computed polymorphs: 1.112 eV per atom
* V: 137.84 Å³/f.u.

Unit cell a=5.1656 b=5.1656 c=5.1656 alpha=90.00 beta=90.00 gamma=90.00
Last column: nearest neighbours and their distance in Å.
Space group Pm-3m (No. 221)
Asymmetric unit:
Na 0.0000 0.0000 0.0000 (multiplicity 1)  6 Al 2.58
Al 0.0000 0.0000 0.5000 (multiplicity 3)  2 Na 2.58
Ga 0.5000 0.5000 0.5000 (multiplicity 1)  12 Al 3.65


A plane-wave DFT calculation with GGA-PBE was carried out for crystalline Na2Al2Ga3 at its relaxed geometry.

* DOS at the Fermi energy: 4.25 states/eV/cell
* formation energy from the elements: -0.054 eV per atom
* V: 146.08 Å³/f.u.

Unit cell a=12.0348 b=4.1895 c=6.9564 alpha=90.00 beta=123.59 gamma=90.00
Last column: nearest neighbours and their distance in Å.
Space group C2/m (No. 12)
Asymmetric unit:
Na 0.1494 0.0000 0.3054 (multiplicity 4)  4 Ga 3.02-3.14, 2 Na 3.21, 1 Al 3.33
Al 0.1558 0.0000 0.7988 (multiplicity 4)  5 Ga 2.61-2.81
Ga 0.0000 0.5000 0.5000 (multiplicity 2)  2 Ga 2.66, 4 Al 2.81
Ga 0.0837 0.5000 0.9435 (multiplicity 4)  2 Ga 2.54-2.66, 3 Al 2.61-2.67


A plane-wave DFT calculation with GGA-PBE was carried out for crystalline NaAlGa at its relaxed geometry.

* DOS at the Fermi energy: 0.71 states/eV/cell
* formation energy from the elements: 0.003 eV per atom
* relative energy among the computed polymorphs: 0.051 eV per atom
* V: 60.49 Å³/f.u.

Unit cell a=2.9270 b=2.9270 c=14.1204 alpha=90.00 beta=90.00 gamma=90.00
Last column: nearest neighbours and their distance in Å.
Space group I4mm (No. 107)
Asymmetric unit:
Na 0.0000 0.0000 0.0000 (multiplicity 2)  4 Na 2.93, 4 Ga 3.22
Al 0.0000 0.0000 0.3196 (multiplicity 2)  4 Ga 2.91, 4 Al 2.93
Ga 0.0000 0.0000 0.6747 (multiplicity 2)  4 Al 2.91, 4 Ga 2.93, 4 Na 3.22


A plane-wave DFT calculation with GGA-PBE was carried out for crystalline Na2AlGa6 at its relaxed geometry.

* DOS at the Fermi energy: 4.26 states/eV/cell
* formation energy from the elements: -0.076 eV per atom
* V: 185.72 Å³/f.u.

Unit cell a=10.4923 b=6.1443 c=5.9549 alpha=90.00 beta=104.64 gamma=90.00
Last column: nearest neighbours and their distance in Å.
Space group C2/m (No. 12)
Asymmetric unit:
Na 0.1537 0.0000 0.3550 (multiplicity 4)  11 Ga 3.13-3.31
Al 0.0000 0.5000 0.5000 (multiplicity 2)  6 Ga 2.63-2.75
Ga 0.1280 0.2170 0.8409 (multiplicity 8)  4 Ga 2.64-2.90, 1 Al 2.75
Ga 0.1294 0.5000 0.1754 (multiplicity 4)  1 Al 2.63, 4 Ga 2.64-2.90


A plane-wave DFT calculation with GGA-PBE was carried out for crystalline NaAlGa at its relaxed geometry.

* DOS at the Fermi energy: 7.95 states/eV/cell
* formation energy from the elements: 0.114 eV per atom
* relative energy among the computed polymorphs: 0.162 eV per atom
* V: 68.57 Å³/f.u.

Unit cell a=6.4972 b=6.4972 c=6.4972 alpha=90.00 beta=90.00 gamma=90.00
Last column: nearest neighbours and their distance in Å.
Space group F-43m (No. 216)
Asymmetric unit:
Na 0.0000 0.0000 0.0000 (multiplicity 4)  4 Ga 2.81
Al 0.0000 0.0000 0.5000 (multiplicity 4)  4 Ga 2.81
Ga 0.2500 0.2500 0.7500 (multiplicity 4)  4 Na 2.81, 4 Al 2.81


A plane-wave DFT calculation with GGA-PBE was carried out for crystalline NaAl2Ga4 at its relaxed geometry.

* DOS at the Fermi energy: 4.19 states/eV/cell
* formation energy from the elements: 0.018 eV per atom
* relative energy among the computed polymorphs: 0.038 eV per atom
* V: 143.90 Å³/f.u.

Unit cell a=4.7790 b=15.1175 c=3.9834 alpha=90.00 beta=90.00 gamma=90.00
Last column: nearest neighbours and their distance in Å.
Space group Cmmm (No. 65)
Asymmetric unit:
Na 0.0000 0.0000 0.0000 (multiplicity 2)  4 Ga 3.29, 8 Al 3.38
Al 0.0000 0.4128 0.5000 (multiplicity 4)  4 Ga 2.63-2.72, 1 Al 2.64
Ga 0.0000 0.1733 0.5000 (multiplicity 4)  2 Al 2.72, 2 Ga 2.75
Ga 0.0000 0.2991 0.0000 (multiplicity 4)  2 Al 2.63, 4 Ga 2.75-2.81